# NpNiH2, relaxed, DFT PBE-GGA
# E_tot: -0.22832 hartree per atom
# Spin magnetization: 9.62 Bohr magnetons per cell
# Crystal system: trigonal
data_NpNiH2
_chemical_formula_sum 'Np3 Ni3 H6'
_space_group_name_H-M_alt 'R -3 m'
_space_group_IT_number 166
_space_group_name_Hall '-R 3 2"'
_cell_length_a 2.9290
_cell_length_b 2.9290
_cell_length_c 17.6830
_cell_angle_alpha 90.00
_cell_angle_beta 90.00
_cell_angle_gamma 120.00
loop_
_atom_site_label
_atom_site_type_symbol
_atom_site_fract_x
_atom_site_fract_y
_atom_site_fract_z
Np1 Np 0.0000 0.0000 0.0000
Ni1 Ni 0.0000 0.0000 0.5000
H1 H 0.0000 0.0000 0.4130